! Ag2IrAu SCAN PBEsol geometry; values from VASP
&SYSTEM
  ibrav = 0, nat = 4, ntyp = 3
/
ATOMIC_SPECIES
Ag 107.87 Ag.upf
Ir 192.22 Ir.upf
Au 196.97 Au.upf
CELL_PARAMETERS angstrom
1.408 -2.356 0.000
1.408 2.356 0.000
0.000 0.000 9.643
ATOMIC_POSITIONS angstrom
Ag 0.000 0.000 2.370
Ag 0.000 0.000 7.273
Ir 1.408 0.000 0.000
Au 1.408 0.000 4.821
! **ΔH_f (0 K)**: 21.3 kJ/mol of atoms
! **Distance to the lowest polymorph of the same formula**: 0.00 eV per formula unit
! **Symmetry**: No. 65
! **VASP energy**: -202.1 eV per cell